! GGA-PBE SrSc2Br, relaxed; values from VASP
&SYSTEM
  ibrav = 0, nat = 12, ntyp = 3
/
ATOMIC_SPECIES
Sr 87.62 Sr.upf
Sc 44.96 Sc.upf
Br 79.90 Br.upf
ATOMIC_POSITIONS angstrom
Sr 0.0000 0.0000 0.0000
Sr 0.0000 2.1152 19.8333
Sr 1.8318 1.0576 9.9167
Sc 0.0000 0.0000 15.2887
Sc 0.0000 0.0000 22.8454
Sc 0.0000 2.1152 5.3720
Sc 0.0000 2.1152 12.9287
Sc 1.8318 1.0576 3.0121
Sc 1.8318 1.0576 25.2054
Br 0.0000 0.0000 7.4006
Br 0.0000 2.1152 27.2339
Br 1.8318 1.0576 17.3172
CELL_PARAMETERS angstrom
3.6636 0.0000 0.0000
-1.8318 3.1728 0.0000
0.0000 0.0000 29.7500
! total DFT energy (no corrections): -4.44 eV/atom
! raw formation energy: -1.75 eV per formula unit
! SG: No. 160
! offset from the most stable computed form: 0.0000 eV per atom

! GGA-PBE SrSc2Br, relaxed; values from VASP
&SYSTEM
  ibrav = 0, nat = 4, ntyp = 3
/
ATOMIC_SPECIES
Sr 87.62 Sr.upf
Sc 44.96 Sc.upf
Br 79.90 Br.upf
ATOMIC_POSITIONS angstrom
Sr 0.0000 0.0000 0.0000
Sc -0.0016 0.0000 4.7541
Sc 1.8081 1.7707 2.7801
Br 0.0103 1.7707 7.1124
CELL_PARAMETERS angstrom
3.6201 0.0000 0.0000
0.0000 3.5413 0.0000
-1.8031 0.0000 9.3149
! total DFT energy (no corrections): -4.43 eV/atom
! raw formation energy: -1.72 eV per formula unit
! SG: No. 6
! offset from the most stable computed form: 0.0087 eV per atom

! GGA-PBE SrSc2Br, relaxed; values from VASP
&SYSTEM
  ibrav = 0, nat = 16, ntyp = 3
/
ATOMIC_SPECIES
Sr 87.62 Sr.upf
Sc 44.96 Sc.upf
Br 79.90 Br.upf
ATOMIC_POSITIONS angstrom
Sr 0.0000 0.0000 0.0000
Sr 0.0000 3.8900 3.8900
Sr 3.8900 0.0000 3.8900
Sr 3.8900 3.8900 0.0000
Sc 1.9450 1.9450 1.9450
Sc 1.9450 1.9450 5.8350
Sc 1.9450 5.8350 1.9450
Sc 1.9450 5.8350 5.8350
Sc 5.8350 1.9450 1.9450
Sc 5.8350 1.9450 5.8350
Sc 5.8350 5.8350 1.9450
Sc 5.8350 5.8350 5.8350
Br 0.0000 0.0000 3.8900
Br 0.0000 3.8900 0.0000
Br 3.8900 0.0000 0.0000
Br 3.8900 3.8900 3.8900
CELL_PARAMETERS angstrom
7.7799 0.0000 0.0000
0.0000 7.7799 0.0000
0.0000 0.0000 7.7799
! total DFT energy (no corrections): -3.63 eV/atom
! raw formation energy: 1.51 eV per formula unit
! SG: No. 225
! offset from the most stable computed form: 0.8151 eV per atom

! GGA-PBE SrScBr3, relaxed; values from VASP
&SYSTEM
  ibrav = 0, nat = 5, ntyp = 3
/
ATOMIC_SPECIES
Sr 87.62 Sr.upf
Sc 44.96 Sc.upf
Br 79.90 Br.upf
ATOMIC_POSITIONS angstrom
Sr 0.0000 0.0000 0.0000
Sc 2.9510 2.9510 2.9510
Br 0.0000 0.0000 2.9510
Br 0.0000 2.9510 0.0000
Br 2.9510 0.0000 0.0000
CELL_PARAMETERS angstrom
5.9020 0.0000 0.0000
0.0000 5.9020 0.0000
0.0000 0.0000 5.9020
! total DFT energy (no corrections): -3.55 eV/atom
! raw formation energy: -4.70 eV per formula unit
! SG: No. 221
! offset from the most stable computed form: 0.3015 eV per atom

| no. | density of states at the Fermi level (states/eV/atom) |
| --- | --- |
| 1 | 0.92 |
| 2 | 1.36 |
| 3 | 1.40 |
| 4 | 1.81 |